The following is a PBE calculation of an optimized crystal structure of VTcNiP2, from the Alexandria database.

For the magnetic moment, the calculation gives 0.0 μB/f.u. For the volume, the calculation gives 68.0 Å³ per cell. The calculation puts the formation energy at -0.41 eV per atom.

Lattice parameters (Å, degrees): 4.704 4.704 4.871 100.92 100.92 40.09
Atoms (fractional coordinates):
V 0.000 0.000 0.000
Tc 0.642 0.642 0.622
Ni 0.908 0.908 0.442
P 0.353 0.353 0.702
P 0.704 0.704 0.123